# CaScSe2 | the Alexandria database | PBE-GGA | optimized geometry
data_CaScSe2
_space_group_name_H-M_alt 'P 1'
_space_group_IT_number 1
_cell_length_a 7.3231
_cell_length_b 7.3231
_cell_length_c 7.3231
_cell_angle_alpha 148.97
_cell_angle_beta 148.97
_cell_angle_gamma 44.46
loop_
_space_group_symop_operation_xyz
'x,y,z'
loop_
_atom_site_label
_atom_site_type_symbol
_atom_site_fract_x
_atom_site_fract_y
_atom_site_fract_z
Se1 Se 0.0000 0.0000 0.0000
Se2 Se 0.2500 0.7500 0.5000
Ca1 Ca 0.5000 0.5000 0.0000
Sc1 Sc 0.7500 0.2500 0.5000
# electronic total energy: -5.14 eV per atom
# uncorrected formation energy: -5.24 eV/f.u.
# spin magnetization: 0.76 μB/f.u.

# Ca2ScSe | the Alexandria database | PBE-GGA | optimized geometry
data_Ca2ScSe
_space_group_name_H-M_alt 'P 1'
_space_group_IT_number 1
_cell_length_a 6.7066
_cell_length_b 6.7066
_cell_length_c 6.7066
_cell_angle_alpha 147.96
_cell_angle_beta 133.29
_cell_angle_gamma 57.77
loop_
_space_group_symop_operation_xyz
'x,y,z'
loop_
_atom_site_label
_atom_site_type_symbol
_atom_site_fract_x
_atom_site_fract_y
_atom_site_fract_z
Se1 Se 0.2500 0.7500 0.5000
Sc1 Sc 0.7500 0.2500 0.5000
Ca1 Ca 0.4427 0.4427 0.0000
Ca2 Ca 0.0573 0.0573 0.0000
# electronic total energy: -3.96 eV per atom
# uncorrected formation energy: -2.03 eV/f.u.
# spin magnetization: 1.05 μB/f.u.

# CaScSe2 | the Alexandria database | PBE-GGA | optimized geometry
data_CaScSe2
_space_group_name_H-M_alt 'P 1'
_space_group_IT_number 1
_cell_length_a 6.3652
_cell_length_b 6.3652
_cell_length_c 7.6511
_cell_angle_alpha 65.42
_cell_angle_beta 65.42
_cell_angle_gamma 90.00
loop_
_space_group_symop_operation_xyz
'x,y,z'
loop_
_atom_site_label
_atom_site_type_symbol
_atom_site_fract_x
_atom_site_fract_y
_atom_site_fract_z
Sc1 Sc 0.7500 0.2500 0.5000
Sc2 Sc 0.0000 0.0000 0.0000
Ca1 Ca 0.2500 0.7500 0.5000
Ca2 Ca 0.5000 0.5000 0.0000
Se1 Se 0.3750 0.3458 0.7500
Se2 Se 0.6542 0.1250 0.2500
Se3 Se 0.8750 0.9042 0.7500
Se4 Se 0.0958 0.6250 0.2500
# electronic total energy: -5.30 eV per atom
# uncorrected formation energy: -5.88 eV/f.u.
# spin magnetization: 0.00 μB/f.u.

# Ca2ScSe | the Alexandria database | PBE-GGA | optimized geometry
data_Ca2ScSe
_space_group_name_H-M_alt 'P 1'
_space_group_IT_number 1
_cell_length_a 6.4730
_cell_length_b 6.4730
_cell_length_c 6.4730
_cell_angle_alpha 139.71
_cell_angle_beta 139.71
_cell_angle_gamma 58.30
loop_
_space_group_symop_operation_xyz
'x,y,z'
loop_
_atom_site_label
_atom_site_type_symbol
_atom_site_fract_x
_atom_site_fract_y
_atom_site_fract_z
Ca1 Ca 0.2500 0.7500 0.5000
Ca2 Ca 0.0000 0.0000 0.0000
Se1 Se 0.7500 0.2500 0.5000
Sc1 Sc 0.5000 0.5000 0.0000
# electronic total energy: -3.85 eV per atom
# uncorrected formation energy: -1.56 eV/f.u.
# spin magnetization: 0.68 μB/f.u.

# Ca2ScSe | the Alexandria database | PBE-GGA | optimized geometry
data_Ca2ScSe
_space_group_name_H-M_alt 'P 1'
_space_group_IT_number 1
_cell_length_a 5.6219
_cell_length_b 5.6219
_cell_length_c 3.7627
_cell_angle_alpha 89.96
_cell_angle_beta 89.96
_cell_angle_gamma 110.30
loop_
_space_group_symop_operation_xyz
'x,y,z'
loop_
_atom_site_label
_atom_site_type_symbol
_atom_site_fract_x
_atom_site_fract_y
_atom_site_fract_z
Sc1 Sc 0.5000 0.0000 0.5000
Se1 Se 0.0000 0.5000 0.5000
Ca1 Ca 0.0000 0.0000 0.0000
Ca2 Ca 0.5000 0.5000 0.0000
# electronic total energy: -3.85 eV per atom
# uncorrected formation energy: -1.58 eV/f.u.
# spin magnetization: 0.00 μB/f.u.

# CaScSe2 | the Alexandria database | PBE-GGA | optimized geometry
data_CaScSe2
_space_group_name_H-M_alt 'P 1'
_space_group_IT_number 1
_cell_length_a 6.5451
_cell_length_b 6.5451
_cell_length_c 4.0335
_cell_angle_alpha 90.00
_cell_angle_beta 90.00
_cell_angle_gamma 34.65
loop_
_space_group_symop_operation_xyz
'x,y,z'
loop_
_atom_site_label
_atom_site_type_symbol
_atom_site_fract_x
_atom_site_fract_y
_atom_site_fract_z
Sc1 Sc 0.7753 0.7753 0.8749
Se1 Se 0.9897 0.9897 0.8751
Se2 Se 0.2488 0.2488 0.3749
Ca1 Ca 0.4862 0.4862 0.3751
# electronic total energy: -5.40 eV per atom
# uncorrected formation energy: -6.28 eV/f.u.
# spin magnetization: 0.00 μB/f.u.